Entry 1:
An optimized crystal structure of TlGePt3, computed with PBE.

ΔH_f (0 K) (eV per atom): 0.350
Electronic total energy (eV for the cell shown): -23.354
Energy above the most stable polymorph in this dataset (meV/atom): 535
M_tot (Bohr magnetons per cell): 0.00

Structure (POSCAR):
```
TlGePt3
1.0
4.733 0.000 0.000
0.000 4.733 0.000
0.000 0.000 4.733
Tl Ge Pt
1 1 3
Direct
0.000 0.000 0.000
0.500 0.500 0.500
0.000 0.500 0.500
0.500 0.000 0.500
0.500 0.500 0.000
```

=====

Entry 2:
An optimized crystal structure of TlGePt4, computed with PBE.

ΔH_f (0 K) (eV per atom): -0.183
Electronic total energy (eV for the cell shown): -64.488
M_tot (Bohr magnetons per cell): 0.00

Structure (POSCAR):
```
TlGePt4
1.0
3.933 0.000 0.000
0.008 7.208 0.000
1.960 3.199 7.538
Tl Ge Pt
2 2 8
Direct
0.196 0.288 0.108
0.804 0.712 0.892
0.000 0.500 0.500
0.500 0.000 0.500
0.055 0.875 0.391
0.165 0.664 0.164
0.315 0.033 0.871
0.432 0.619 0.638
0.568 0.381 0.362
0.685 0.967 0.129
0.835 0.336 0.836
0.945 0.125 0.609
```

=====

Entry 3:
An optimized crystal structure of TlGePt3, computed with PBE.

ΔH_f (0 K) (eV per atom): 1.260
Electronic total energy (eV for the cell shown): -18.804
Energy above the most stable polymorph in this dataset (meV/atom): 1445
M_tot (Bohr magnetons per cell): 0.00

Structure (POSCAR):
```
TlGePt3
1.0
5.045 0.000 0.000
0.000 5.045 0.000
0.000 0.000 5.045
Tl Ge Pt
1 1 3
Direct
0.000 0.000 0.000
0.500 0.500 0.500
0.000 0.000 0.500
0.000 0.500 0.000
0.500 0.000 0.000
```